(w)
First-principles (PBE) data for SrPdSe3 after structural relaxation, as listed in Alexandria via LeMat-Bulk.

Cell: 5.8441 5.8441 5.8441 Å, 90.00 90.00 90.00°
With the nearest neighbours (Å) after each atom.
Sites, in units of the cell vectors:
Sr 0.0000 0.0000 0.0000  6 Se 2.92
Pd 0.5000 0.5000 0.5000  12 Se 4.13
Se 0.0000 0.0000 0.5000  2 Sr 2.92
Se 0.0000 0.5000 0.0000  2 Sr 2.92
Se 0.5000 0.0000 0.0000  2 Sr 2.92

Properties
**Total magnetic moment**: 4.0 μB/f.u.

(x)
First-principles (PBE) data for SrPdSe3 after structural relaxation, as listed in Alexandria via LeMat-Bulk.

Cell: 5.0360 5.0360 5.0360 Å, 90.00 90.00 90.00°
With the nearest neighbours (Å) after each atom.
Sites, in units of the cell vectors:
Sr 0.0000 0.0000 0.0000  12 Se 3.56
Pd 0.5000 0.5000 0.5000  6 Se 2.52
Se 0.0000 0.5000 0.5000  2 Pd 2.52
Se 0.5000 0.0000 0.5000  2 Pd 2.52
Se 0.5000 0.5000 0.0000  2 Pd 2.52

Properties
**Total magnetic moment**: 0.0 μB/f.u.

Most stable pick: (x). Distance to second place: 1.219 eV/atom.

(w)
First-principles (PBE) data for SrPd2Se2 after structural relaxation, as listed in Alexandria via LeMat-Bulk.

Cell: 6.7309 6.7309 6.7309 Å, 143.32 143.32 52.84°
With the nearest neighbours (Å) after each atom.
Sites, in units of the cell vectors:
Sr 0.0000 0.0000 0.0000  8 Se 3.35, 8 Pd 3.68
Pd 0.2500 0.7500 0.5000  4 Se 2.60
Pd 0.7500 0.2500 0.5000  4 Se 2.60
Se 0.3757 0.3757 0.0000  4 Pd 2.60
Se 0.6243 0.6243 0.0000  4 Pd 2.60

Properties
**Total magnetic moment**: 0.0 μB/f.u.

(x)
First-principles (PBE) data for SrPd2Se2 after structural relaxation, as listed in Alexandria via LeMat-Bulk.

Cell: 5.7392 5.7392 5.7392 Å, 128.57 128.57 75.70°
With the nearest neighbours (Å) after each atom.
Sites, in units of the cell vectors:
Sr 0.0000 0.0000 0.0000  2 Pd 3.06, 8 Se 3.37
Pd 0.3378 0.3378 0.0000  4 Se 2.61
Pd 0.6622 0.6622 0.0000  4 Se 2.61
Se 0.2500 0.7500 0.5000  4 Pd 2.61
Se 0.7500 0.2500 0.5000  4 Pd 2.61

Properties
**Total magnetic moment**: 0.0 μB/f.u.

Most stable pick: (x). Distance to second place: 0.010 eV/atom.

(w)
First-principles (PBE) data for TaPd2Se2 after structural relaxation, as listed in Alexandria via LeMat-Bulk.

Cell: 7.0492 7.0492 3.5014 Å, 90.00 90.00 90.00°
With the nearest neighbours (Å) after each atom.
Sites, in units of the cell vectors:
Ta 0.0000 0.0000 0.0000  4 Se 2.63
Ta 0.5000 0.5000 0.0000  4 Se 2.63
Pd 0.1446 0.3554 0.5000  6 Se 2.57-2.81
Pd 0.3554 0.8554 0.5000  6 Se 2.57-2.81
Pd 0.6446 0.1446 0.5000  6 Se 2.57-2.81
Pd 0.8554 0.6446 0.5000  6 Se 2.57-2.81
Se 0.1663 0.6663 0.0000  6 Pd 2.57-2.81, 2 Ta 2.63
Se 0.3337 0.1663 0.0000  6 Pd 2.57-2.81, 2 Ta 2.63
Se 0.6663 0.8337 0.0000  6 Pd 2.57-2.81, 2 Ta 2.63
Se 0.8337 0.3337 0.0000  6 Pd 2.57-2.81, 2 Ta 2.63

Properties
**Total magnetic moment**: 0.0 μB/f.u.

(x)
First-principles (PBE) data for TaPd2Se2 after structural relaxation, as listed in Alexandria via LeMat-Bulk.

Cell: 7.7600 7.7600 7.7600 Å, 153.78 153.78 37.42°
With the nearest neighbours (Å) after each atom.
Sites, in units of the cell vectors:
Ta 0.0000 0.0000 0.0000  8 Se 2.90
Pd 0.2500 0.7500 0.5000  4 Pd 2.49
Pd 0.7500 0.2500 0.5000  4 Pd 2.49
Se 0.3992 0.3992 0.0000  4 Pd 2.81, 4 Ta 2.90, 1 Se 2.96
Se 0.6008 0.6008 0.0000  4 Pd 2.81, 4 Ta 2.90, 1 Se 2.96

Properties
**Total magnetic moment**: 0.5 μB/f.u.

Most stable pick: (w). Distance to second place: 0.244 eV/atom.